(1)
# LiSn2Au2

An optimized crystal structure of LiSn2Au2 (GGA-PBE, Alexandria).

The structure belongs to space group P4/mbm (No. 127); the cell edges are 7.910, 7.910 and 3.608 Å and the angles 90.00°, 90.00° and 90.00°. The asymmetric unit holds Li at (0.000, 0.000, 0.000), Sn at (0.148, 0.352, 0.000) and Au at (0.154, 0.654, 0.500).

The value obtained for the energy above the most stable polymorph in this dataset is 0.173 eV/atom.

=====

(2)
# Li5SnAu4

An optimized crystal structure of Li5SnAu4 (GGA-PBE, Alexandria).

The structure belongs to space group P4/mmm (No. 123); the cell edges are 2.988, 2.988 and 18.372 Å and the angles 90.00°, 90.00° and 90.00°. The asymmetric unit holds Li at (0.000, 0.000, 0.000), Li at (0.000, 0.000, 0.190), Li at (0.000, 0.000, 0.379), Sn at (0.500, 0.500, 0.500), Au at (0.500, 0.500, 0.094) and Au at (0.500, 0.500, 0.285).

The value obtained for the energy above the most stable polymorph in this dataset is 0.002 eV/atom.

=====

(3)
# Li4Sn2Au3

An optimized crystal structure of Li4Sn2Au3 (GGA-PBE, Alexandria).

The structure belongs to space group C2/m (No. 12); the cell edges are 9.652, 4.326 and 8.599 Å and the angles 90.00°, 115.97° and 90.00°. The asymmetric unit holds Li at (0.017, 0.000, 0.342), Li at (0.162, 0.500, 0.873), Sn at (0.179, 0.500, 0.221), Au at (0.000, 0.000, 0.000) and Au at (0.156, 0.500, 0.540).

=====

(4)
# Li6Sn5Au

An optimized crystal structure of Li6Sn5Au (GGA-PBE, Alexandria).

The structure belongs to space group P-1 (No. 2); the cell edges are 5.194, 6.130 and 8.039 Å and the angles 112.22°, 90.07° and 90.07°. The asymmetric unit holds Li at (0.000, 0.248, 0.000), Li at (0.334, 0.412, 0.327), Li at (0.334, 0.915, 0.327), Sn at (0.159, 0.329, 0.658), Sn at (0.179, 0.841, 0.681), Sn at (0.500, 0.500, 0.000) and Au at (0.500, 0.000, 0.000).

=====

(5)
# Li8Sn2Au

An optimized crystal structure of Li8Sn2Au (GGA-PBE, Alexandria).

The structure belongs to space group Immm (No. 71); the cell edges are 4.676, 6.232 and 13.934 Å and the angles 90.00°, 90.00° and 90.00°. The asymmetric unit holds Li at (0.000, 0.000, 0.181), Li at (0.000, 0.240, 0.352), Li at (0.000, 0.265, 0.000), Sn at (0.000, 0.500, 0.182) and Au at (0.000, 0.500, 0.500).

=====

(6)
# Li6SnAu5

An optimized crystal structure of Li6SnAu5 (GGA-PBE, Alexandria).

The structure belongs to space group P2/m (No. 10); the cell edges are 4.717, 5.865 and 7.070 Å and the angles 90.00°, 99.74° and 90.00°. The asymmetric unit holds Li at (0.000, 0.236, 0.000), Li at (0.333, 0.246, 0.650), Sn at (0.500, 0.500, 0.000), Au at (0.146, 0.500, 0.321), Au at (0.158, 0.000, 0.329) and Au at (0.500, 0.000, 0.000).

=====

(7)
# Li2Sn2Au

An optimized crystal structure of Li2Sn2Au (GGA-PBE, Alexandria).

The structure belongs to space group Ccc2 (No. 37); the cell edges are 7.625, 8.273 and 6.898 Å and the angles 90.00°, 90.00° and 90.00°. The asymmetric unit holds Li at (0.068, 0.199, 0.000), Sn at (0.190, 0.447, 0.686) and Au at (0.250, 0.250, 0.340).

=====

(8)
# LiSn2Au8

An optimized crystal structure of LiSn2Au8 (GGA-PBE, Alexandria).

The structure belongs to space group Immm (No. 71); the cell edges are 4.063, 8.595 and 12.329 Å and the angles 90.00°, 90.00° and 90.00°. The asymmetric unit holds Li at (0.000, 0.000, 0.000), Sn at (0.000, 0.000, 0.351), Au at (0.000, 0.246, 0.161), Au at (0.000, 0.266, 0.500) and Au at (0.000, 0.500, 0.330).

=====

Number 1: energy of formation from the pure elements -156 meV per atom. Number 2: energy of formation from the pure elements -502 meV per atom. Number 3: energy of formation from the pure elements -448 meV per atom. Number 4: energy of formation from the pure elements -364 meV per atom. Number 5: energy of formation from the pure elements -367 meV per atom. Number 6: energy of formation from the pure elements -509 meV per atom. Number 7: energy of formation from the pure elements -298 meV per atom. Number 8: energy of formation from the pure elements -172 meV per atom.